Entry 1:
DFT (PBE) results for PrGeRuF after structural relaxation.

abc: 4.262 4.262 7.949
angles: 90.00 90.00 90.00
Atoms (fractional coordinates):
Pr (0.250, 0.250, 0.187)
Pr (0.750, 0.750, 0.813)
Ge (0.250, 0.250, 0.654)
Ge (0.750, 0.750, 0.346)
Ru (0.250, 0.750, 0.500)
Ru (0.750, 0.250, 0.500)
F (0.250, 0.750, 0.000)
F (0.750, 0.250, 0.000)

Results
E_form (uncorrected) in eV per atom: -1.736
VASP energy in eV per atom: -6.87

Entry 2:
DFT (PBE) results for BC3 after structural relaxation.

abc: 2.535 2.535 13.328
angles: 90.00 90.00 120.00
Atoms (fractional coordinates):
B (0.000, 0.000, 0.000)
B (0.000, 0.000, 0.127)
B (0.333, 0.667, 0.211)
C (0.000, 0.000, 0.523)
C (0.000, 0.000, 0.640)
C (0.333, 0.667, 0.329)
C (0.333, 0.667, 0.678)
C (0.333, 0.667, 0.794)
C (0.667, 0.333, 0.369)
C (0.667, 0.333, 0.485)
C (0.667, 0.333, 0.834)
C (0.667, 0.333, 0.947)

Results
VASP energy in eV per atom: -8.29
Formation energy in eV per atom: 0.29
Polymorph energy (0 for the lowest one) in meV/atom: 54

Entry 3:
DFT (PBE) results for Ta2TcSe after structural relaxation.

abc: 5.122 5.122 5.122
angles: 142.31 123.53 69.89
Atoms (fractional coordinates):
Ta (0.245, 0.245, 0.000)
Ta (0.755, 0.755, 0.000)
Tc (0.500, 0.000, 0.500)
Se (0.000, 0.500, 0.500)

Results
E_form (uncorrected) in eV per atom: 0.032
VASP energy in eV per atom: -9.36

Entry 4:
DFT (PBE) results for Ce3YP4 after structural relaxation.

abc: 7.050 7.050 4.074
angles: 90.00 90.00 109.49
Atoms (fractional coordinates):
Ce (0.000, 0.000, 0.000)
Ce (0.000, 0.500, 0.500)
Ce (0.500, 0.000, 0.500)
Y (0.500, 0.500, 0.000)
P (0.251, 0.749, 0.000)
P (0.252, 0.252, 0.500)
P (0.748, 0.748, 0.500)
P (0.749, 0.251, 0.000)

Results
VASP energy in eV per atom: -7.27
Formation energy in eV per atom: -1.53

Entry 5:
DFT (PBE) results for Th6BiAs3P2 after structural relaxation.

abc: 9.538 9.538 8.602
angles: 102.82 102.82 25.79
Atoms (fractional coordinates):
Th (0.007, 0.007, 0.274)
Th (0.324, 0.324, 0.900)
Th (0.331, 0.331, 0.422)
Th (0.669, 0.669, 0.578)
Th (0.676, 0.676, 0.100)
Th (0.993, 0.993, 0.726)
Bi (0.500, 0.500, 0.000)
As (0.161, 0.161, 0.834)
As (0.500, 0.500, 0.500)
As (0.839, 0.839, 0.166)
P (0.169, 0.169, 0.336)
P (0.831, 0.831, 0.664)

Results
VASP energy in eV per atom: -7.37
Formation energy in eV per atom: -1.27

Entry 6:
DFT (PBE) results for MgPaZnRh after structural relaxation.

abc: 4.769 4.769 4.769
angles: 60.00 60.00 60.00
Atoms (fractional coordinates):
Mg (0.000, 0.000, 0.000)
Pa (0.500, 0.500, 0.500)
Zn (0.250, 0.250, 0.250)
Rh (0.750, 0.750, 0.750)

Results
VASP energy in eV per atom: -5.23
Formation energy in eV per atom: -0.30